VASP calculation (PBE) on crystalline Tl2CdIn3F12 at its relaxed geometry.

Properties
The electronic total energy comes out at -4.262 eV/atom. The symmetry is R-3m (166). The uncorrected formation energy is -2.24 eV per atom. The calculation puts the volume at 20.48 Å³ per atom.

a b c (Å): 7.9718 7.9718 7.9718
angles (deg): 61.29 61.29 61.29
With the nearest neighbours (Å) after each atom.
Element x y z (fractional)
Tl (0.1701, 0.1701, 0.1701)  6 F 2.90-3.24
Tl (0.8299, 0.8299, 0.8299)  6 F 2.90-3.24
Cd (0.5000, 0.5000, 0.5000)  6 F 2.29
In (0.0000, 0.5000, 0.5000)  6 F 2.12-2.15
In (0.5000, 0.0000, 0.5000)  6 F 2.12-2.15
In (0.5000, 0.5000, 0.0000)  6 F 2.12-2.15
F (0.1583, 0.5830, 0.5830)  1 In 2.12, 1 Cd 2.29
F (0.1876, 0.1876, 0.5586)  2 In 2.15
F (0.1876, 0.5585, 0.1876)  2 In 2.15
F (0.4170, 0.4170, 0.8417)  1 In 2.12, 1 Cd 2.29
F (0.4170, 0.8417, 0.4170)  1 In 2.12, 1 Cd 2.29
F (0.4414, 0.8124, 0.8124)  2 In 2.15
F (0.5586, 0.1876, 0.1876)  2 In 2.15
F (0.5830, 0.1583, 0.5830)  1 In 2.12, 1 Cd 2.29
F (0.5830, 0.5830, 0.1583)  1 In 2.12, 1 Cd 2.29
F (0.8124, 0.4414, 0.8124)  2 In 2.15
F (0.8124, 0.8124, 0.4414)  2 In 2.15
F (0.8417, 0.4170, 0.4170)  1 In 2.12, 1 Cd 2.29